# 1
Computed, not measured: a geometry-optimized ZrAs2Pd structure at the PBE level of DFT.

Summary:
The calculation puts the formation energy at -0.4898 eV/atom. The value obtained for the density of states at the Fermi level is 1.90 states/eV/f.u.

a b c (Å): 6.584 6.584 6.584
angles (deg): 90.00 90.00 90.00
Space group Fm-3m (No. 225)
Unique sites:
1 Zr 0.000 0.000 0.000 x4
2 As 0.250 0.250 0.250 x8
3 Pd 0.000 0.000 0.500 x4

# 2
Computed, not measured: a geometry-optimized Cs6Rb12Hg structure at the PBE level of DFT.

Summary:
The calculation puts the formation energy at -0.0181 eV/atom. The value obtained for the density of states at the Fermi level is 19.34 states/eV/f.u.

a b c (Å): 15.5522 15.5522 25.1697
angles (deg): 90.00 90.00 120.00
Space group R-3m (No. 166, hexagonal axes)
Unique sites:
1 Cs 0.1018 0.5509 0.2547 x18
2 Rb 0.1093 0.2186 0.9134 x18
3 Rb 0.1097 0.2193 0.2489 x18
4 Hg 0.0000 0.0000 0.5000 x3

# 3
Computed, not measured: a geometry-optimized NdTm5S6 structure at the PBE level of DFT.

Summary:
The value obtained for the density of states at the Fermi level is 4.67 states/eV/f.u. The formation energy from raw total energies is -1.945 eV/atom.

a b c (Å): 6.707 11.662 6.724
angles (deg): 90.00 109.49 90.00
Space group C2/m (No. 12)
Unique sites:
1 Nd 0.000 0.000 0.000 x2
2 Tm 0.000 0.160 0.500 x4
3 Tm 0.000 0.335 0.000 x4
4 Tm 0.000 0.500 0.500 x2
5 S 0.239 0.500 0.254 x4
6 S 0.241 0.327 0.742 x8

Which formula does entry 1 have? ZrAs2Pd

Please write out number 2 again, unchanged.
Computed, not measured: a geometry-optimized Cs6Rb12Hg structure at the PBE level of DFT.

Summary:
The calculation puts the formation energy at -0.0181 eV/atom. The value obtained for the density of states at the Fermi level is 19.34 states/eV/f.u.

a b c (Å): 15.5522 15.5522 25.1697
angles (deg): 90.00 90.00 120.00
Space group R-3m (No. 166, hexagonal axes)
Unique sites:
1 Cs 0.1018 0.5509 0.2547 x18
2 Rb 0.1093 0.2186 0.9134 x18
3 Rb 0.1097 0.2193 0.2489 x18
4 Hg 0.0000 0.0000 0.5000 x3